Below is a relaxed LiAcLuIn crystal, with properties calculated at the PBE level.

```
LiAcLuIn
1.0
5.498 0.000 0.000
2.749 4.761 0.000
2.749 1.587 4.489
Ac Lu Li In
1 1 1 1
Cartesian
2.749 1.587 1.122 Ac
8.246 4.761 3.367 Lu
5.498 3.174 2.244 Li
0.000 0.000 0.000 In
```

## Properties
**ρ**: 7402 kg/m³
**SG**: F-43m, No. 216
**Total DFT energy (no corrections)**: -3.501 eV/atom

Below is a relaxed LiAcMgIn crystal, with properties calculated at the PBE level.

```
LiAcMgIn
1.0
-1.063 4.493 -2.762
2.892 -3.930 -2.265
-5.270 -0.702 0.885
Li Ac Mg In
1 1 1 1
Cartesian
-0.067 0.846 -3.839 Li
-2.572 1.508 -1.797 Ac
-4.680 -1.089 0.030 Mg
-2.183 -1.758 -2.020 In
```

## Properties
**ρ**: 5615 kg/m³
**SG**: Cm, No. 8
**Total DFT energy (no corrections)**: -2.809 eV/atom

Question: Which value of ρ does entry 2 give?
Answer: 5615 kg/m³

Question: Look up the ρ of the second one.
Answer: 5615 kg/m³

Question: Which value of total DFT energy (no corrections) does entry 1 give?
Answer: -3.501 eV/atom

Question: The highest ρ belongs to which entry?
Answer: LiAcLuIn